Arrangement one

20
Lattice="10.036 0.000 0.000 0.000 11.098 0.000 0.000 0.000 5.360" Properties=species:S:1:pos:R:3 comment="PrTm5Sc4, relaxed, DFT GGA-PBE" total_magnetization_mub_per_cell=0.00 spacegroup="No. 59" crystal_system=orthorhombic pbc="T T T"
Pr 2.509 2.774 1.337
Pr 7.527 8.323 4.023
Tm 0.506 0.533 1.340
Tm 0.506 5.015 1.340
Tm 2.509 8.323 4.026
Tm 4.512 0.533 1.340
Tm 4.512 5.015 1.340
Tm 5.524 6.082 4.021
Tm 5.524 10.564 4.021
Tm 7.527 2.774 1.334
Tm 9.530 6.082 4.021
Tm 9.530 10.564 4.021
Sc 0.007 8.323 1.343
Sc 2.509 0.614 4.019
Sc 2.509 4.935 4.019
Sc 5.011 8.323 1.343
Sc 5.025 2.774 4.018
Sc 7.527 6.162 1.341
Sc 7.527 10.484 1.341
Sc 10.028 2.774 4.018



Arrangement two

10
Lattice="-4.894 4.894 3.066 4.894 -4.894 3.066 4.894 4.894 -3.066" Properties=species:S:1:pos:R:3 comment="PrTm5Sc4, relaxed, DFT GGA-PBE" total_magnetization_mub_per_cell=0.01 spacegroup="No. 79" crystal_system=tetragonal pbc="T T T"
Pr 0.000 0.000 0.000
Tm 0.000 0.000 2.800
Tm 6.322 2.497 1.380
Tm 2.497 3.465 1.380
Tm 2.397 1.429 4.447
Tm -1.429 2.397 4.447
Sc 6.270 -0.562 1.405
Sc 3.518 0.562 1.405
Sc -0.562 3.518 1.405
Sc 0.562 6.270 1.405



Question: which arrangement is favored energetically? Ranking from most to least stable: arrangement one, arrangement two.



Arrangement one

11
Lattice="5.517 -5.799 0.000 5.517 5.799 0.000 -2.211 0.000 5.722" Properties=species:S:1:pos:R:3 comment="Pr7Tm2Sc2, relaxed, DFT GGA-PBE" total_magnetization_mub_per_cell=0.00 spacegroup="No. 12" crystal_system=monoclinic pbc="T T T"
Pr 0.000 0.000 0.000
Pr 1.720 3.046 4.618
Pr 7.102 3.046 1.104
Pr 4.229 0.000 1.174
Pr 4.593 0.000 4.548
Pr 1.720 -3.046 4.618
Pr 7.102 -3.046 1.104
Tm 1.054 0.000 3.340
Tm 7.768 0.000 2.382
Sc 4.411 3.252 2.861
Sc 4.411 -3.252 2.861



Arrangement two

11
Lattice="3.248 -5.850 0.000 3.248 5.850 0.000 0.000 0.000 10.114" Properties=species:S:1:pos:R:3 comment="Pr7Tm2Sc2, relaxed, DFT GGA-PBE" total_magnetization_mub_per_cell=0.00 spacegroup="No. 65" crystal_system=orthorhombic pbc="T T T"
Pr 0.000 0.000 0.000
Pr 1.624 2.925 3.199
Pr 1.624 2.925 6.916
Pr 1.624 -2.925 3.199
Pr 1.624 -2.925 6.916
Pr 3.248 0.000 2.104
Pr 3.248 0.000 8.010
Tm 3.248 2.513 0.000
Tm 3.248 -2.513 0.000
Sc 1.641 0.000 5.057
Sc 4.855 0.000 5.057



Question: which arrangement is favored energetically? Ranking from most to least stable: arrangement one, arrangement two.



Arrangement one

10
Lattice="8.763 0.000 0.000 0.000 3.597 0.000 -2.895 0.000 10.264" Properties=species:S:1:pos:R:3 comment="Pr3TmSc, relaxed, DFT GGA-PBE" total_magnetization_mub_per_cell=0.00 spacegroup="No. 11" crystal_system=monoclinic pbc="T T T"
Pr -0.036 0.899 1.592
Pr 0.093 2.698 4.649
Pr 2.917 2.698 0.575
Pr 2.951 0.899 9.690
Pr 5.775 0.899 5.615
Pr 5.904 2.698 8.672
Tm 0.125 0.899 7.676
Tm 5.743 2.698 2.588
Sc 2.955 0.899 3.681
Sc 2.913 2.698 6.583



Arrangement two

20
Lattice="3.544 0.000 0.000 0.000 17.541 0.000 0.000 0.000 10.753" Properties=species:S:1:pos:R:3 comment="Pr3TmSc, relaxed, DFT GGA-PBE" total_magnetization_mub_per_cell=0.00 spacegroup="No. 57" crystal_system=orthorhombic pbc="T T T"
Pr 0.870 4.385 0.000
Pr 0.870 4.385 5.377
Pr 0.900 10.117 0.651
Pr 0.900 10.117 4.725
Pr 0.900 16.194 6.028
Pr 0.900 16.194 10.102
Pr 2.644 1.347 0.651
Pr 2.644 1.347 4.725
Pr 2.644 7.424 6.028
Pr 2.644 7.424 10.102
Pr 2.674 13.156 0.000
Pr 2.674 13.156 5.377
Tm 0.857 1.835 8.065
Tm 0.857 6.936 2.688
Tm 2.687 10.605 8.065
Tm 2.687 15.706 2.688
Sc 0.909 12.789 2.688
Sc 0.909 13.523 8.065
Sc 2.634 4.018 2.688
Sc 2.634 4.752 8.065



Question: which arrangement is favored energetically? Ranking from most to least stable: arrangement one, arrangement two.



Arrangement one

12
Lattice="7.112 -4.848 0.000 7.112 4.848 0.000 0.000 0.000 5.448" Properties=species:S:1:pos:R:3 comment="PrTm3Sc2, relaxed, DFT GGA-PBE" total_magnetization_mub_per_cell=0.00 spacegroup="No. 63" crystal_system=orthorhombic pbc="T T T"
Pr 7.112 2.609 4.086
Pr 7.112 -2.609 1.362
Tm 3.722 1.245 1.362
Tm 3.722 -1.245 4.086
Tm 7.112 0.917 1.362
Tm 7.112 -0.917 4.086
Tm 10.502 1.245 1.362
Tm 10.502 -1.245 4.086
Sc 1.536 0.900 4.086
Sc 1.536 -0.900 1.362
Sc 12.688 0.900 4.086
Sc 12.688 -0.900 1.362



Arrangement two

12
Lattice="11.236 -1.696 0.000 11.236 1.696 0.000 -3.071 0.000 9.382" Properties=species:S:1:pos:R:3 comment="PrTm3Sc2, relaxed, DFT GGA-PBE" total_magnetization_mub_per_cell=0.00 spacegroup="No. 12" crystal_system=monoclinic pbc="T T T"
Pr 3.924 0.000 0.432
Pr 15.477 0.000 8.950
Tm 0.000 0.000 4.108
Tm 2.237 0.000 6.649
Tm 9.017 0.000 2.206
Tm 10.383 0.000 7.176
Tm 17.163 0.000 2.733
Tm 19.400 0.000 5.274
Sc 3.170 0.000 3.525
Sc 7.075 0.000 8.037
Sc 12.326 0.000 1.345
Sc 16.230 0.000 5.856



Question: which arrangement is favored energetically? Ranking from most to least stable: arrangement two, arrangement one.



Arrangement one

16
Lattice="6.782 0.000 0.000 3.176 5.999 0.000 2.757 1.639 11.205" Properties=species:S:1:pos:R:3 comment="PrTmSc2, relaxed, DFT GGA-PBE" total_magnetization_mub_per_cell=0.00 spacegroup="No. 2" crystal_system=triclinic pbc="T T T"
Pr 1.619 0.974 1.397
Pr 3.001 1.793 7.003
Pr 9.714 5.845 4.202
Pr 11.097 6.663 9.808
Tm 4.781 2.875 4.192
Tm 6.160 3.691 9.792
Tm 6.555 3.947 1.413
Tm 7.934 4.763 7.013
Sc 4.570 4.770 7.001
Sc 3.191 3.948 1.398
Sc 6.352 5.852 4.204
Sc 7.734 6.667 9.806
Sc 4.981 0.971 1.399
Sc 6.364 1.785 7.001
Sc 9.525 3.689 9.806
Sc 8.146 2.868 4.204



Arrangement two

4
Lattice="4.940 0.000 0.000 0.000 4.940 0.000 0.000 0.000 4.679" Properties=species:S:1:pos:R:3 comment="PrTmSc2, relaxed, DFT GGA-PBE" total_magnetization_mub_per_cell=0.00 spacegroup="No. 123" crystal_system=tetragonal pbc="T T T"
Pr 0.000 0.000 0.000
Tm 2.470 2.470 0.000
Sc 0.000 2.470 2.339
Sc 2.470 0.000 2.339



Question: which arrangement is favored energetically? Ranking from most to least stable: arrangement one, arrangement two.



Arrangement one

4
Lattice="1.737 1.003 10.931 -1.737 1.003 10.931 0.000 -2.005 10.931" Properties=species:S:1:pos:R:3 comment="PrTmSc2, relaxed, DFT GGA-PBE" total_magnetization_mub_per_cell=0.03 spacegroup="No. 160" crystal_system=trigonal pbc="T T T"
Pr 0.000 0.000 0.000
Tm 0.000 0.000 27.345
Sc 0.000 0.000 13.752
Sc 0.000 0.000 19.072



Arrangement two

4
Lattice="0.000 3.852 3.852 3.852 0.000 3.852 3.852 3.852 0.000" Properties=species:S:1:pos:R:3 comment="PrTmSc2, relaxed, DFT GGA-PBE" total_magnetization_mub_per_cell=0.00 spacegroup="No. 225" crystal_system=cubic pbc="T T T"
Pr 0.000 0.000 0.000
Tm 3.852 3.852 3.852
Sc 1.926 1.926 1.926
Sc 5.778 5.778 5.778



Question: which arrangement is favored energetically? Ranking from most to least stable: arrangement one, arrangement two.